[1]
This record from Alexandria via LeMat-Bulk describes crystalline GdDy3F at its relaxed geometry. The functional is PBE-GGA.

Calculated values
Magnetic moment   7.45 Bohr magnetons per cell
Formation energy without anion corrections   -0.922 eV per atom
Crystal system   cubic

Cell and atoms, written as POSCAR:
```
GdDy3F
1.0
5.041 0.000 0.000
0.000 5.041 0.000
0.000 0.000 5.041
Gd Dy F
1 3 1
Direct
0.000 0.000 0.000 Gd
0.000 0.500 0.500 Dy
0.500 0.000 0.500 Dy
0.500 0.500 0.000 Dy
0.500 0.500 0.500 F
```

=====

[2]
This record from Alexandria via LeMat-Bulk describes crystalline LiCaPd4Pb2 at its relaxed geometry. The functional is PBE-GGA.

Calculated values
Magnetic moment   0.00 Bohr magnetons per cell
Energy of formation from the pure elements   -44.75 kJ per mole of atoms
Crystal system   trigonal

Cell and atoms, written as POSCAR:
```
LiCaPd4Pb2
1.0
2.350 1.357 7.970
-2.350 1.357 7.970
0.000 -2.714 7.970
Li Ca Pd Pb
1 1 4 2
Direct
0.000 0.000 0.000 Li
0.500 0.500 0.500 Ca
0.109 0.109 0.109 Pd
0.373 0.373 0.373 Pd
0.627 0.627 0.627 Pd
0.891 0.891 0.891 Pd
0.254 0.254 0.254 Pb
0.746 0.746 0.746 Pb
```